GGA-PBE KTaGe, relaxed; symmetry = F-43m; energy = -3.646 eV/atom
1.0
6.951 0.000 0.000
0.000 6.951 0.000
0.000 0.000 6.951
K Ta Ge
4 4 4
Direct
0.000 0.000 0.000
0.000 0.500 0.500
0.500 0.000 0.500
0.500 0.500 0.000
0.250 0.250 0.250
0.250 0.750 0.750
0.750 0.250 0.750
0.750 0.750 0.250
0.250 0.250 0.750
0.250 0.750 0.250
0.750 0.250 0.250
0.750 0.750 0.750